The following is a DFT calculation (PBE) of crystalline BaMnTl2 at its relaxed geometry.

Properties
The formation enthalpy at 0 K is 57 meV per atom.

Lattice parameters (Å, degrees): 6.9835 6.9835 6.9835 40.45 40.45 40.45
Last column: magnetic moment on the atom in μB.
Atoms (fractional coordinates):
Ba (0.4938, 0.4938, 0.4938)  0.00
Mn (0.6819, 0.6819, 0.6819)  3.90
Tl (0.0408, 0.0408, 0.0408)  -0.01
Tl (0.2835, 0.2835, 0.2835)  0.00

The following is a DFT calculation (PBE) of crystalline BaMn2Tl at its relaxed geometry.

Properties
The formation enthalpy at 0 K is 796 meV per atom. The excess energy over the best structure of this formula in the dataset comes out at 554 meV/atom.

Lattice parameters (Å, degrees): 10.0015 10.0015 10.0015 20.57 20.57 20.57
Last column: magnetic moment on the atom in μB.
Atoms (fractional coordinates):
Ba (0.7500, 0.7500, 0.7500)  -0.21
Mn (0.9883, 0.9883, 0.9883)  3.97
Mn (0.5117, 0.5117, 0.5117)  3.97
Tl (0.2500, 0.2500, 0.2500)  -0.06

The following is a DFT calculation (PBE) of crystalline BaMnTl at its relaxed geometry.

Properties
The formation enthalpy at 0 K is 254 meV per atom. The excess energy over the best structure of this formula in the dataset comes out at 116 meV/atom.

Lattice parameters (Å, degrees): 6.7730 6.7730 3.8561 73.46 73.46 33.08
Last column: magnetic moment on the atom in μB.
Atoms (fractional coordinates):
Ba (0.9997, 0.9997, 0.0003)  -0.09
Mn (0.2930, 0.2929, 0.7070)  3.93
Tl (0.7074, 0.7074, 0.2926)  -0.04

The following is a DFT calculation (PBE) of crystalline BaMnTl at its relaxed geometry.

Properties
The formation enthalpy at 0 K is 230 meV per atom. The excess energy over the best structure of this formula in the dataset comes out at 92 meV/atom.

Lattice parameters (Å, degrees): 9.3500 4.1283 13.1985 90.00 130.58 90.00
Last column: magnetic moment on the atom in μB.
Atoms (fractional coordinates):
Ba (0.5926, 0.0000, 0.8360)  0.01
Ba (0.5926, 0.5000, 0.3360)  0.01
Ba (0.0905, 0.0000, 0.2206)  -0.01
Ba (0.0905, 0.5000, 0.7206)  -0.01
Mn (0.5874, 0.0000, 0.5581)  3.50
Mn (0.5874, 0.5000, 0.0581)  3.50
Mn (0.7146, 0.0000, 0.1826)  -3.29
Mn (0.7146, 0.5000, 0.6826)  -3.29
Tl (0.0152, 0.0000, 0.4617)  0.04
Tl (0.0152, 0.5000, 0.9617)  0.04
Tl (0.3274, 0.0000, 0.0225)  0.01
Tl (0.3274, 0.5000, 0.5225)  0.01

The following is a DFT calculation (PBE) of crystalline BaMnTl at its relaxed geometry.

Properties
The formation enthalpy at 0 K is 139 meV per atom. The excess energy over the best structure of this formula in the dataset comes out at 0 meV/atom.

Lattice parameters (Å, degrees): 6.2202 4.5566 13.9836 90.00 99.94 90.00
Last column: magnetic moment on the atom in μB.
Atoms (fractional coordinates):
Ba (0.3129, 0.0000, 0.1055)  -0.05
Ba (0.6871, 0.0000, 0.8945)  -0.05
Ba (0.3129, 0.5000, 0.6055)  -0.05
Ba (0.6871, 0.5000, 0.3945)  -0.05
Mn (0.8766, 0.0000, 0.2241)  3.65
Mn (0.1234, 0.0000, 0.7759)  3.65
Mn (0.8766, 0.5000, 0.7241)  3.65
Mn (0.1234, 0.5000, 0.2759)  3.65
Tl (0.1962, 0.0000, 0.3945)  -0.06
Tl (0.8038, 0.0000, 0.6055)  -0.06
Tl (0.1962, 0.5000, 0.8945)  -0.06
Tl (0.8038, 0.5000, 0.1055)  -0.06

The following is a DFT calculation (PBE) of crystalline BaMn3Tl at its relaxed geometry.

Properties
The formation enthalpy at 0 K is 1793 meV per atom. The excess energy over the best structure of this formula in the dataset comes out at 926 meV/atom.

Lattice parameters (Å, degrees): 5.6529 5.6529 5.6529 90.00 90.00 90.00
Last column: magnetic moment on the atom in μB.
Atoms (fractional coordinates):
Tl (0.5000, 0.5000, 0.5000)  -0.03
Mn (0.0000, 0.5000, 0.0000)  4.04
Mn (0.0000, 0.0000, 0.5000)  3.71
Mn (0.5000, 0.0000, 0.0000)  4.33
Ba (0.0000, 0.0000, 0.0000)  -0.21

The following is a DFT calculation (PBE) of crystalline BaMnTl3 at its relaxed geometry.

Properties
The formation enthalpy at 0 K is -15 meV per atom.

Lattice parameters (Å, degrees): 5.2937 5.2937 5.2937 90.00 90.00 90.00
Last column: magnetic moment on the atom in μB.
Atoms (fractional coordinates):
Tl (0.0000, 0.5000, 0.0000)  -0.07
Tl (0.0000, 0.0000, 0.5000)  -0.05
Tl (0.5000, 0.0000, 0.0000)  -0.12
Mn (0.0000, 0.0000, 0.0000)  2.52
Ba (0.5000, 0.5000, 0.5000)  -0.04

The following is a DFT calculation (PBE) of crystalline Ba2MnTl at its relaxed geometry.

Properties
The formation enthalpy at 0 K is 152 meV per atom.

Lattice parameters (Å, degrees): 9.4152 5.9455 4.2405 90.00 63.23 129.14
Last column: magnetic moment on the atom in μB.
Atoms (fractional coordinates):
Ba (0.0000, 0.0000, 0.0000)  -0.03
Ba (0.5000, 0.0000, 0.5000)  -0.03
Mn (0.0000, 0.5000, 0.5000)  4.14
Tl (0.5000, 0.5000, 0.0000)  0.00

The following is a DFT calculation (PBE) of crystalline BaMn2Tl at its relaxed geometry.

Properties
The formation enthalpy at 0 K is 666 meV per atom. The excess energy over the best structure of this formula in the dataset comes out at 424 meV/atom.

Lattice parameters (Å, degrees): 4.8987 4.9090 4.5775 90.00 90.00 90.00
Last column: magnetic moment on the atom in μB.
Atoms (fractional coordinates):
Ba (0.0000, 0.5000, 0.5000)  -0.12
Mn (0.0000, 0.0000, 0.0000)  4.01
Mn (0.5000, 0.5000, 0.0000)  4.00
Tl (0.5000, 0.0000, 0.5000)  -0.10

The following is a DFT calculation (PBE) of crystalline BaMn2Tl at its relaxed geometry.

Properties
The formation enthalpy at 0 K is 611 meV per atom. The excess energy over the best structure of this formula in the dataset comes out at 369 meV/atom.

Lattice parameters (Å, degrees): 5.3962 5.3962 5.3962 121.03 121.03 88.22
Last column: magnetic moment on the atom in μB.
Atoms (fractional coordinates):
Ba (0.7500, 0.2500, 0.5000)  -0.02
Mn (0.0000, 0.0000, 0.0000)  4.11
Mn (0.2500, 0.7500, 0.5000)  4.09
Tl (0.5000, 0.5000, 0.0000)  -0.06

The following is a DFT calculation (PBE) of crystalline Ba2MnTl at its relaxed geometry.

Properties
The formation enthalpy at 0 K is 358 meV per atom.

Lattice parameters (Å, degrees): 5.7363 5.7363 7.4076 77.52 77.52 42.99
Last column: magnetic moment on the atom in μB.
Atoms (fractional coordinates):
Ba (0.0046, 0.0046, 0.9936)  -0.09
Ba (0.4954, 0.4954, 0.5064)  -0.09
Mn (0.7500, 0.7500, 0.7500)  4.07
Tl (0.2500, 0.2500, 0.2500)  -0.03

The following is a DFT calculation (PBE) of crystalline BaMnTl2 at its relaxed geometry.

Properties
The formation enthalpy at 0 K is 251 meV per atom.

Lattice parameters (Å, degrees): 5.5446 5.5446 10.2850 74.36 74.36 90.00
Last column: magnetic moment on the atom in μB.
Atoms (fractional coordinates):
Tl (0.4844, 0.1250, 0.2500)  -0.05
Tl (0.2656, 0.6250, 0.2500)  -0.05
Tl (0.3750, 0.5156, 0.7500)  -0.07
Tl (0.8750, 0.7344, 0.7500)  -0.06
Mn (0.5000, 0.5000, 0.0000)  3.87
Mn (0.2500, 0.7500, 0.5000)  3.87
Ba (0.0000, 0.0000, 0.0000)  -0.02
Ba (0.7500, 0.2500, 0.5000)  -0.02

What is the formula in the tenth record? BaMn2Tl

Which of these has the lowest formation enthalpy at 0 K? BaMnTl3